# 1
# GGA-PBE Na3SbPd3O8, optimized geometry
data_Na3SbPd3O8
_chemical_formula_sum 'Na3 Sb1 Pd3 O8'
_symmetry_space_group_name_H-M 'P 1'
_symmetry_Int_Tables_number 1
_cell_length_a 6.827
_cell_length_b 6.827
_cell_length_c 6.319
_cell_angle_alpha 115.37
_cell_angle_beta 115.37
_cell_angle_gamma 52.58
loop_
_symmetry_equiv_pos_as_xyz
'x,y,z'
loop_
_atom_site_label
_atom_site_type_symbol
_atom_site_fract_x
_atom_site_fract_y
_atom_site_fract_z
Na1 Na 0.000 0.000 0.000
Na2 Na 0.000 0.500 0.500
Na3 Na 0.500 0.000 0.500
Sb1 Sb 0.000 0.000 0.500
Pd1 Pd 0.000 0.500 0.000
Pd2 Pd 0.500 0.000 0.000
Pd3 Pd 0.500 0.500 0.500
O1 O 0.191 0.191 0.745
O2 O 0.208 0.722 0.674
O3 O 0.278 0.792 0.326
O4 O 0.308 0.308 0.248
O5 O 0.692 0.692 0.752
O6 O 0.722 0.208 0.674
O7 O 0.792 0.278 0.326
O8 O 0.809 0.809 0.255
# * uncorrected formation energy: -24.32 kcal/mol of atoms
# * uncorrected energy: -79.14 eV per cell
# * crystal system: monoclinic
# * magnetic moment: 0.000 μB/atom
# * ρ: 5.2 g/cm3


# 2
# GGA-PBE BeCo3P, optimized geometry
data_BeCo3P
_chemical_formula_sum 'Be1 Co3 P1'
_symmetry_space_group_name_H-M 'P 1'
_symmetry_Int_Tables_number 1
_cell_length_a 4.055
_cell_length_b 4.055
_cell_length_c 4.055
_cell_angle_alpha 90.00
_cell_angle_beta 90.00
_cell_angle_gamma 90.00
loop_
_symmetry_equiv_pos_as_xyz
'x,y,z'
loop_
_atom_site_label
_atom_site_type_symbol
_atom_site_fract_x
_atom_site_fract_y
_atom_site_fract_z
Be1 Be 0.000 0.000 0.000
Co1 Co 0.000 0.500 0.500
Co2 Co 0.500 0.000 0.500
Co3 Co 0.500 0.500 0.000
P1 P 0.500 0.500 0.500
# * calculated formation energy: 2.0 eV/f.u.
# * uncorrected energy: -28.42 eV per cell
# * crystal system: cubic
# * polymorph energy (0 for the lowest one): 0.0000 eV/atom
# * magnetic moment: 0.444 μB/atom
# * ρ: 5.4 g/cm3


# 3
# GGA-PBE Nd2SmThBi4, optimized geometry
data_Nd2SmThBi4
_chemical_formula_sum 'Nd2 Sm1 Th1 Bi4'
_symmetry_space_group_name_H-M 'P 1'
_symmetry_Int_Tables_number 1
_cell_length_a 7.947
_cell_length_b 4.601
_cell_length_c 7.955
_cell_angle_alpha 90.00
_cell_angle_beta 109.46
_cell_angle_gamma 90.00
loop_
_symmetry_equiv_pos_as_xyz
'x,y,z'
loop_
_atom_site_label
_atom_site_type_symbol
_atom_site_fract_x
_atom_site_fract_y
_atom_site_fract_z
Nd1 Nd 0.000 0.000 0.000
Nd2 Nd 0.500 0.500 0.000
Sm1 Sm 0.000 0.500 0.500
Th1 Th 0.500 0.000 0.500
Bi1 Bi 0.248 0.000 0.747
Bi2 Bi 0.249 0.500 0.252
Bi3 Bi 0.751 0.500 0.748
Bi4 Bi 0.752 0.000 0.253
# * calculated formation energy: -6.9 eV/f.u.
# * uncorrected energy: -44.12 eV per cell
# * crystal system: monoclinic
# * magnetic moment: 0.000 μB/atom
# * ρ: 9.1 g/cm3


What is the formula in the third record? Nd2SmThBi4